[1]
Computed, not measured: a relaxed structure of La2I2Br3 at the PBE-GGA level of DFT.

Lattice parameters (Å, degrees): 4.1879 7.2968 8.9765 64.78 76.51 73.32
Fractional positions:
I 0.8482 0.4994 0.8042
Br 0.6348 0.1632 0.5673
La 0.8274 0.1405 0.2047
Br 0.5000 0.0000 0.0000
I 0.1518 0.5006 0.1958
Br 0.3652 0.8368 0.4327
La 0.1726 0.8595 0.7953

Properties
* mass density: 5.433 g/cm3
* DOS(E_F): 0.6843 states/eV per atom
* final energy: -4.276 eV per atom
* space-group type: C2/m



[2]
Computed, not measured: a relaxed structure of LiTlNi2Pd at the PBE-GGA level of DFT.

Lattice parameters (Å, degrees): 4.7359 5.1232 4.7359 90.00 90.00 90.00
Fractional positions:
Pd 0.0000 0.0000 0.0000
Tl 0.0000 0.5000 0.0000
Ni 0.0000 0.0000 0.5000
Ni 0.5000 0.0000 0.0000
Li 0.5000 0.5000 0.5000

Properties
* mass density: 6.288 g/cm3
* DOS(E_F): 2.0099 states/eV per atom
* formation enthalpy at 0 K: 3.55 eV per formula unit
* final energy: -3.497 eV per atom
* space-group type: P4/mmm